Compound: UTl2WO6
Source: Alexandria
Functional: PBE+U
Structure: optimized geometry

abc: 5.964 5.964 8.526
angles: 90.00 90.00 90.00
Site moments in Bohr magnetons follow the coordinates.
Atoms (fractional coordinates):
W 0.500 0.250 0.500  0.95
W 0.000 0.750 0.000  0.95
O 0.753 0.997 0.000  -0.01
O 0.753 0.503 0.000  -0.01
O 0.500 0.250 0.272  -0.04
O 0.500 0.250 0.728  -0.04
O 0.247 0.503 0.000  -0.01
O 0.747 0.497 0.500  -0.01
O 0.000 0.750 0.772  -0.04
O 0.747 0.003 0.500  -0.01
O 0.000 0.750 0.228  -0.04
O 0.253 0.497 0.500  -0.01
O 0.253 0.003 0.500  -0.01
O 0.247 0.997 0.000  -0.01
Tl 0.500 0.750 0.750  0.00
Tl 0.000 0.250 0.750  0.00
Tl 0.500 0.750 0.250  0.00
Tl 0.000 0.250 0.250  0.00
U 0.000 0.750 0.500  1.14
U 0.500 0.250 0.000  1.14

**SG**: I4/mmm, No. 139
**DFT total energy**: -147.0 eV per cell
**Crystal system**: tetragonal